# 1
Density functional theory data (PBE-GGA) for an optimized crystal structure of Li2AsCl.

Output
Magnetization (μB/cell): 0.00
Fermi-level density of states (states/eV per cell): 0.83
Crystal system: trigonal
E above lowest polymorph (meV/atom): 0
Space group: R-3m, No. 166
VASP energy (eV/f.u.): -14.27

a = 3.2680 Å, b = 3.2680 Å, c = 7.5664 Å
α = 77.52°, β = 77.52°, γ = 59.99°
With the nearest neighbours (Å) after each atom.
Fractional coordinates of all 4 atoms:
1 Li 0.9861 0.9861 0.0397  3 Cl 2.43-2.44
2 Li 0.5139 0.5139 0.4603  3 Cl 2.43-2.44
3 As 0.7500 0.7500 0.7500  6 Li 2.84
4 Cl 0.2500 0.2500 0.2500  6 Li 2.43-2.44

---

# 2
Density functional theory data (PBE-GGA) for an optimized crystal structure of Li2AsCl6.

Output
Magnetization (μB/cell): 0.00
Fermi-level density of states (states/eV per cell): 11.07
Crystal system: tetragonal
Space group: P4_2/mnm, No. 136
VASP energy (eV/f.u.): -28.71

a = 6.0240 Å, b = 6.0240 Å, c = 11.1215 Å
α = 90.00°, β = 90.00°, γ = 90.00°
With the nearest neighbours (Å) after each atom.
Fractional coordinates of all 18 atoms:
1 Cl 0.1911 0.8089 0.8407  1 As 2.41, 2 Li 2.52-2.63
2 Li 0.0000 0.0000 0.6681  6 Cl 2.52-2.63
3 Cl 0.7137 0.7137 0.0000  1 As 2.44, 2 Li 2.61
4 As 0.5000 0.5000 0.5000  6 Cl 2.41-2.44
5 Cl 0.7863 0.2137 0.5000  1 As 2.44, 2 Li 2.61
6 As 0.0000 0.0000 0.0000  6 Cl 2.41-2.44
7 Li 0.5000 0.5000 0.8319  6 Cl 2.52-2.63
8 Cl 0.6911 0.6911 0.3407  1 As 2.41, 2 Li 2.52-2.63
9 Cl 0.6911 0.6911 0.6593  1 As 2.41, 2 Li 2.52-2.63
10 Cl 0.3089 0.3089 0.3407  1 As 2.41, 2 Li 2.52-2.63
11 Cl 0.8089 0.1911 0.1593  1 As 2.41, 2 Li 2.52-2.63
12 Cl 0.3089 0.3089 0.6593  1 As 2.41, 2 Li 2.52-2.63
13 Cl 0.2137 0.7863 0.5000  1 As 2.44, 2 Li 2.61
14 Cl 0.1911 0.8089 0.1593  1 As 2.41, 2 Li 2.52-2.63
15 Cl 0.2863 0.2863 0.0000  1 As 2.44, 2 Li 2.61
16 Cl 0.8089 0.1911 0.8407  1 As 2.41, 2 Li 2.52-2.63
17 Li 0.5000 0.5000 0.1681  6 Cl 2.52-2.63
18 Li 0.0000 0.0000 0.3319  6 Cl 2.52-2.63

---

# 3
Density functional theory data (PBE-GGA) for an optimized crystal structure of Li2AsCl.

Output
Magnetization (μB/cell): 0.00
Fermi-level density of states (states/eV per cell): 2.16
Crystal system: tetragonal
E above lowest polymorph (meV/atom): 284
Space group: I-42d, No. 122
VASP energy (eV/f.u.): -13.13

a = 6.4324 Å, b = 6.4324 Å, c = 6.0770 Å
α = 58.05°, β = 58.05°, γ = 90.00°
With the nearest neighbours (Å) after each atom.
Fractional coordinates of all 8 atoms:
1 As 0.0000 0.0000 0.0000  4 Li 2.69
2 Cl 0.2500 0.7500 0.5000  4 Li 2.30
3 Li 0.1724 0.6250 0.2500  2 Cl 2.30
4 Cl 0.5000 0.5000 0.0000  4 Li 2.30
5 Li 0.5776 0.1250 0.2500  2 Cl 2.30
6 Li 0.3750 0.4224 0.7500  2 Cl 2.30
7 Li 0.8750 0.8276 0.7500  2 Cl 2.30
8 As 0.7500 0.2500 0.5000  4 Li 2.69

---

# 4
Density functional theory data (PBE-GGA) for an optimized crystal structure of Li2As2Cl.

Output
Magnetization (μB/cell): 0.00
Fermi-level density of states (states/eV per cell): 2.17
Crystal system: tetragonal
E above lowest polymorph (meV/atom): 168
Space group: I4/mmm, No. 139
VASP energy (eV/f.u.): -16.56

a = 5.1545 Å, b = 5.1545 Å, c = 5.6826 Å
α = 63.03°, β = 63.03°, γ = 90.00°
With the nearest neighbours (Å) after each atom.
Fractional coordinates of all 5 atoms:
1 Cl 0.0000 0.0000 0.0000  2 As 3.25, 8 Li 3.38
2 As 0.6269 0.6269 0.7462  1 As 2.21
3 As 0.3731 0.3731 0.2538  1 As 2.21
4 Li 0.2500 0.7500 0.5000  4 As 2.79
5 Li 0.7500 0.2500 0.5000  4 As 2.79

---

# 5
Density functional theory data (PBE-GGA) for an optimized crystal structure of Li2AsCl.

Output
Magnetization (μB/cell): 0.00
Fermi-level density of states (states/eV per cell): 1.37
Crystal system: tetragonal
E above lowest polymorph (meV/atom): 293
Space group: I-4m2, No. 119
VASP energy (eV/f.u.): -13.09

a = 9.0849 Å, b = 9.0849 Å, c = 9.0849 Å
α = 158.03°, β = 158.03°, γ = 31.27°
With the nearest neighbours (Å) after each atom.
Fractional coordinates of all 4 atoms:
1 Cl 0.7500 0.2500 0.5000  4 Li 2.45
2 Li 0.2500 0.7500 0.5000  4 Cl 2.45
3 Li 0.0000 0.0000 0.0000  4 As 2.45
4 As 0.5000 0.5000 0.0000  4 Li 2.45

---

# 6
Density functional theory data (PBE-GGA) for an optimized crystal structure of LiAs3Cl.

Output
Magnetization (μB/cell): 0.00
Fermi-level density of states (states/eV per cell): 5.13
Crystal system: cubic
E above lowest polymorph (meV/atom): 213
Space group: Pm-3m, No. 221
VASP energy (eV/f.u.): -13.78

a = 4.9691 Å, b = 4.9691 Å, c = 4.9691 Å
α = 90.00°, β = 90.00°, γ = 90.00°
With the nearest neighbours (Å) after each atom.
Fractional coordinates of all 5 atoms:
1 As 0.5000 0.0000 0.0000  2 Cl 2.48
2 Li 0.5000 0.5000 0.5000  12 As 3.51
3 Cl 0.0000 0.0000 0.0000  6 As 2.48
4 As 0.0000 0.5000 0.0000  2 Cl 2.48
5 As 0.0000 0.0000 0.5000  2 Cl 2.48

---

# 7
Density functional theory data (PBE-GGA) for an optimized crystal structure of Li2AsCl.

Output
Magnetization (μB/cell): 0.00
Fermi-level density of states (states/eV per cell): 2.01
Crystal system: tetragonal
E above lowest polymorph (meV/atom): 289
Space group: P4/mmm, No. 123
VASP energy (eV/f.u.): -13.11

a = 2.9092 Å, b = 4.9188 Å, c = 4.9188 Å
α = 90.00°, β = 90.00°, γ = 90.00°
With the nearest neighbours (Å) after each atom.
Fractional coordinates of all 4 atoms:
1 Cl 0.5000 0.0000 0.5000  8 Li 2.86, 2 Cl 2.91
2 Li 0.0000 0.5000 0.5000  4 Cl 2.86, 4 As 2.86, 2 Li 2.91
3 As 0.5000 0.5000 0.0000  8 Li 2.86, 2 As 2.91
4 Li 0.0000 0.0000 0.0000  4 As 2.86, 4 Cl 2.86, 2 Li 2.91

---

# 8
Density functional theory data (PBE-GGA) for an optimized crystal structure of Li2AsNCl.

Output
Magnetization (μB/cell): 0.11
Fermi-level density of states (states/eV per cell): 1.72
Crystal system: tetragonal
Space group: P4/mmm, No. 123
VASP energy (eV/f.u.): -19.45

a = 5.1577 Å, b = 3.7243 Å, c = 5.1577 Å
α = 90.00°, β = 90.00°, γ = 90.00°
With the nearest neighbours (Å) after each atom.
Fractional coordinates of all 5 atoms:
1 As 0.0000 0.0000 0.0000  2 N 1.86
2 Li 0.0000 0.0000 0.5000  2 As 2.58
3 Cl 0.5000 0.5000 0.5000  8 Li 3.18
4 Li 0.5000 0.0000 0.0000  2 As 2.58
5 N 0.0000 0.5000 0.0000  2 As 1.86

---

# 9
Density functional theory data (PBE-GGA) for an optimized crystal structure of Na2LiAsCl6.

Output
Magnetization (μB/cell): 0.00
Fermi-level density of states (states/eV per cell): 0.00
Crystal system: trigonal
Space group: R3, No. 146
VASP energy (eV/f.u.): -33.64

a = 6.8108 Å, b = 6.8105 Å, c = 7.6396 Å
α = 63.51°, β = 63.51°, γ = 60.00°
With the nearest neighbours (Å) after each atom.
Fractional coordinates of all 10 atoms:
1 Cl 0.4315 0.7187 0.7427  1 Li 2.33
2 Cl 0.1072 0.4315 0.7427  1 Li 2.33
3 Cl 0.2555 0.9733 0.2005  1 As 2.40
4 Na 0.0179 0.0178 0.9465  6 Cl 2.77-2.88
5 Cl 0.7187 0.1072 0.7427  1 Li 2.33
6 Cl 0.5704 0.2556 0.2005  1 As 2.40
7 Na 0.5184 0.5185 0.4449  6 Cl 2.85-2.93
8 Cl 0.9733 0.5705 0.2005  1 As 2.40
9 As 0.3317 0.3317 0.0049  3 Cl 2.40
10 Li 0.7370 0.7369 0.7893  3 Cl 2.33

---

# 10
Density functional theory data (PBE-GGA) for an optimized crystal structure of NaLi2AsCl6.

Output
Magnetization (μB/cell): 0.00
Fermi-level density of states (states/eV per cell): 0.00
Crystal system: trigonal
Space group: R-3, No. 148
VASP energy (eV/f.u.): -34.27

a = 6.4172 Å, b = 6.4177 Å, c = 7.6517 Å
α = 65.21°, β = 65.20°, γ = 60.00°
With the nearest neighbours (Å) after each atom.
Fractional coordinates of all 10 atoms:
1 As 0.3162 0.3162 0.0515  6 Cl 2.52
2 Cl 0.0570 0.3936 0.8406  2 Li 2.52-2.65, 1 As 2.52
3 Li 0.9915 0.9915 0.0258  6 Cl 2.52-2.66
4 Cl 0.7089 0.0571 0.8406  2 Li 2.52-2.66, 1 As 2.52
5 Na 0.8163 0.8162 0.5514  6 Cl 2.88
6 Cl 0.5753 0.2387 0.2625  2 Li 2.52-2.65, 1 As 2.52
7 Cl 0.3936 0.7088 0.8406  2 Li 2.52-2.65, 1 As 2.52
8 Li 0.6408 0.6408 0.0774  6 Cl 2.52-2.66
9 Cl 0.9234 0.5753 0.2625  2 Li 2.52-2.66, 1 As 2.52
10 Cl 0.2388 0.9234 0.2624  2 Li 2.52-2.65, 1 As 2.52

---

# 11
Density functional theory data (PBE-GGA) for an optimized crystal structure of NaLiAsCl2.

Output
Magnetization (μB/cell): 0.00
Fermi-level density of states (states/eV per cell): 1.20
Crystal system: tetragonal
Space group: P4/mmm, No. 123
VASP energy (eV/f.u.): -14.57

a = 5.4894 Å, b = 4.6793 Å, c = 5.4894 Å
α = 90.00°, β = 90.00°, γ = 90.00°
With the nearest neighbours (Å) after each atom.
Fractional coordinates of all 5 atoms:
1 Cl 0.5000 0.0000 0.0000  2 As 2.74
2 As 0.0000 0.0000 0.0000  2 Li 2.34
3 Na 0.5000 0.5000 0.5000  8 Cl 3.61, 4 Li 3.88
4 Cl 0.0000 0.0000 0.5000  2 As 2.74
5 Li 0.0000 0.5000 0.0000  2 As 2.34

---

# 12
Density functional theory data (PBE-GGA) for an optimized crystal structure of LiNb2AsCl.

Output
Magnetization (μB/cell): 0.00
Fermi-level density of states (states/eV per cell): 5.58
Crystal system: tetragonal
Space group: P4/mmm, No. 123
VASP energy (eV/f.u.): -25.17

a = 4.6807 Å, b = 4.6807 Å, c = 3.7939 Å
α = 90.00°, β = 90.00°, γ = 90.00°
With the nearest neighbours (Å) after each atom.
Fractional coordinates of all 5 atoms:
1 Nb 0.5000 0.0000 0.0000  2 Li 2.34
2 As 0.5000 0.5000 0.5000  8 Nb 3.01, 4 Cl 3.31
3 Nb 0.0000 0.5000 0.0000  2 Li 2.34
4 Cl 0.0000 0.0000 0.5000  2 Li 1.90
5 Li 0.0000 0.0000 0.0000  2 Cl 1.90